Compound: Ti2Be2Co3
Source: Alexandria via LeMat-Bulk
Functional: GGA-PBE
Structure: optimized geometry

extended XYZ file:
```
7
Lattice="-0.6765 -0.6772 -3.0627 2.5377 -0.7896 -0.3860 -2.6064 -8.7856 0.8374" Properties=species:S:1:pos:R:3 pbc="T T T"
Co -1.8182 -5.8503 0.0142
Co 0.0000 0.0000 0.0000
Co -1.4647 -3.6125 -2.2396
Ti -1.3032 -8.1316 -1.2760
Ti 0.5581 -2.1208 -1.3353
Be -0.6907 -5.8501 -1.9158
Be -0.0545 -4.4023 -0.6955
```

## Properties
E_form = -189.4 kJ/mol of formula units
DFT total energy = -6.646 eV/atom